The following is a PBE calculation of a relaxed structure of HfAl2Sn2, from Alexandria.

Cell lengths 7.6093, 7.6093, 3.7660 Å; angles 90.00, 90.00, 90.00 degrees
Closest atoms and distances in Å follow each position.
Positions (direct):
Hf 0.0000 0.0000 0.0000  4 Sn 2.93
Hf 0.5000 0.5000 0.0000  4 Sn 2.93
Al 0.1573 0.3427 0.5000  6 Sn 2.86-2.96
Al 0.3427 0.8427 0.5000  6 Sn 2.86-2.96
Al 0.6573 0.1573 0.5000  6 Sn 2.86-2.96
Al 0.8427 0.6573 0.5000  6 Sn 2.86-2.96
Sn 0.1431 0.6431 0.0000  6 Al 2.86-2.96, 2 Hf 2.93, 1 Sn 3.08
Sn 0.3569 0.1431 0.0000  6 Al 2.86-2.96, 2 Hf 2.93, 1 Sn 3.08
Sn 0.6431 0.8569 0.0000  6 Al 2.86-2.96, 2 Hf 2.93, 1 Sn 3.08
Sn 0.8569 0.3569 0.0000  6 Al 2.86-2.96, 2 Hf 2.93, 1 Sn 3.08

Results
energy relative to the elements = 0.712 eV/f.u.
symmetry = P4/mbm
distance to the lowest polymorph of the same formula = 0.093 eV/atom

=====

The following is a PBE calculation of a relaxed structure of Zr2CrPt, from Alexandria.

Cell lengths 9.8973, 9.8973, 9.8973 Å; angles 155.77, 155.77, 34.54 degrees
Closest atoms and distances in Å follow each position.
Positions (direct):
Zr 0.1226 0.6250 0.9976  2 Pt 2.78, 2 Cr 2.79, 4 Zr 2.92-2.95
Zr 0.3750 0.3726 0.4976  2 Pt 2.78, 2 Cr 2.79, 4 Zr 2.92-2.95
Zr 0.6274 0.1250 0.0024  2 Pt 2.78, 2 Cr 2.79, 4 Zr 2.92-2.95
Zr 0.8750 0.8774 0.5024  2 Pt 2.78, 2 Cr 2.79, 4 Zr 2.92-2.95
Cr 0.2500 0.7500 0.5000  4 Zr 2.79, 4 Pt 2.94
Cr 0.5000 0.5000 0.0000  4 Zr 2.79, 4 Pt 2.94
Pt 0.0000 0.0000 0.0000  4 Zr 2.78, 4 Cr 2.94
Pt 0.7500 0.2500 0.5000  4 Zr 2.78, 4 Cr 2.94

Results
energy relative to the elements = 0.980 eV/f.u.
symmetry = I-42d
distance to the lowest polymorph of the same formula = 0.643 eV/atom

=====

The following is a PBE calculation of a relaxed structure of LiV2PPt, from Alexandria.

Cell lengths 4.3414, 4.3414, 4.1248 Å; angles 90.00, 90.00, 90.00 degrees
Closest atoms and distances in Å follow each position.
Positions (direct):
Li 0.0000 0.0000 0.0000  2 P 2.06
V 0.0000 0.5000 0.5000  2 P 2.17
V 0.5000 0.0000 0.5000  2 P 2.17
P 0.0000 0.0000 0.5000  2 Li 2.06, 4 V 2.17
Pt 0.5000 0.5000 0.0000  8 V 2.99, 4 Li 3.07

Results
energy relative to the elements = 0.675 eV/f.u.
symmetry = P4/mmm

=====

The following is a PBE calculation of a relaxed structure of NpGaBi2, from Alexandria.

Cell lengths 4.8060, 4.8060, 4.5710 Å; angles 90.00, 90.00, 90.00 degrees
Closest atoms and distances in Å follow each position.
Positions (direct):
Np 0.0000 0.0000 0.0000  8 Bi 3.32, 4 Ga 3.40
Ga 0.5000 0.5000 0.0000  8 Bi 3.32, 4 Np 3.40
Bi 0.0000 0.5000 0.5000  4 Np 3.32, 4 Ga 3.32, 4 Bi 3.40
Bi 0.5000 0.0000 0.5000  4 Np 3.32, 4 Ga 3.32, 4 Bi 3.40

Results
energy relative to the elements = -0.072 eV/f.u.
symmetry = P4/mmm
distance to the lowest polymorph of the same formula = 0.000 eV/atom

=====

The following is a PBE calculation of a relaxed structure of MnRe2Ru, from Alexandria.

Cell lengths 3.8123, 3.8123, 3.8382 Å; angles 90.00, 90.00, 90.00 degrees
Closest atoms and distances in Å follow each position.
Positions (direct):
Mn 0.0000 0.0000 0.0000  4 Ru 2.70, 8 Re 2.70
Re 0.0000 0.5000 0.5000  4 Re 2.70, 4 Mn 2.70, 4 Ru 2.70
Re 0.5000 0.0000 0.5000  4 Re 2.70, 4 Mn 2.70, 4 Ru 2.70
Ru 0.5000 0.5000 0.0000  4 Mn 2.70, 8 Re 2.70

Results
energy relative to the elements = 0.190 eV/f.u.
symmetry = P4/mmm
distance to the lowest polymorph of the same formula = 0.042 eV/atom

=====

The following is a PBE calculation of a relaxed structure of ErTm3Co2, from Alexandria.

Cell lengths 8.0276, 8.0276, 8.0276 Å; angles 132.63, 71.53, 129.76 degrees
Closest atoms and distances in Å follow each position.
Positions (direct):
Er 0.0000 0.0000 0.0000  2 Co 2.53
Er 0.5000 0.5000 0.0000  2 Co 2.53
Tm 0.0151 0.2500 0.7651  4 Co 2.78-2.80
Tm 0.2500 0.7500 0.5000  4 Co 2.84
Tm 0.4849 0.2500 0.2349  4 Co 2.78-2.80
Tm 0.5151 0.7500 0.7651  4 Co 2.78-2.80
Tm 0.7500 0.2500 0.5000  4 Co 2.84
Tm 0.9849 0.7500 0.2349  4 Co 2.78-2.80
Co 0.1362 0.7196 0.8558  1 Er 2.53, 4 Tm 2.78-2.80
Co 0.3638 0.2196 0.5835  1 Er 2.53, 4 Tm 2.78-2.80
Co 0.6362 0.7804 0.4165  1 Er 2.53, 4 Tm 2.78-2.80
Co 0.8638 0.2804 0.1442  1 Er 2.53, 4 Tm 2.78-2.80

Results
energy relative to the elements = -0.614 eV/f.u.
symmetry = Ibam
distance to the lowest polymorph of the same formula = 0.091 eV/atom

=====

The following is a PBE calculation of a relaxed structure of AcCeZnIr, from Alexandria.

Cell lengths 5.1974, 5.1974, 5.1974 Å; angles 60.00, 60.00, 60.00 degrees
Closest atoms and distances in Å follow each position.
Positions (direct):
Ac 0.0000 0.0000 0.0000  4 Ir 3.18, 4 Zn 3.18
Ce 0.5000 0.5000 0.5000  4 Zn 3.18, 4 Ir 3.18
Zn 0.2500 0.2500 0.2500  4 Ce 3.18, 4 Ac 3.18
Ir 0.7500 0.7500 0.7500  4 Ce 3.18, 4 Ac 3.18

Results
energy relative to the elements = -1.425 eV/f.u.
symmetry = F-43m

=====

The following is a PBE calculation of a relaxed structure of Ca2PIr, from Alexandria.

Cell lengths 4.1031, 4.1031, 5.8730 Å; angles 90.00, 90.00, 90.00 degrees
Closest atoms and distances in Å follow each position.
Positions (direct):
Ca 0.0000 0.0000 0.0000  2 Ir 2.88-2.99, 4 P 2.93
Ca 0.5000 0.5000 0.4356  2 P 2.90-2.97, 4 Ir 2.93
P 0.5000 0.5000 0.9298  6 Ca 2.90-2.97
Ir 0.0000 0.0000 0.5089  6 Ca 2.88-2.99

Results
energy relative to the elements = -0.080 eV/f.u.
symmetry = P4mm